Arrangement P

First-principles (PBE-GGA) data for an optimized crystal structure of TmCdSb2, as listed in Alexandria via LeMat-Bulk.

- theoretical density (g/cm3) = 7.563
- total moment (Bohr magnetons per cell) = 0.0
- density of states at the Fermi level (states/eV/f.u.) = 2.6

Lattice parameters (Å, degrees): 4.4207 4.4207 20.4278 90.00 90.00 120.00
Closest atoms and distances in Å follow each position.
Space group R-3m (No. 166, hexagonal axes)
Unique sites:
Tm: 0.0000 0.0000 0.0000 [3 per cell]  6 Sb 3.07
Cd: 0.0000 0.0000 0.5000 [3 per cell]  6 Sb 3.06
Sb: 0.0000 0.0000 0.2496 [6 per cell]  3 Cd 3.06, 3 Tm 3.07

---

Arrangement Q

First-principles (PBE-GGA) data for an optimized crystal structure of TmCdSb2, as listed in Alexandria via LeMat-Bulk.

- theoretical density (g/cm3) = 8.608
- total moment (Bohr magnetons per cell) = 0.0
- density of states at the Fermi level (states/eV/f.u.) = 1.6

Lattice parameters (Å, degrees): 4.9780 4.9780 4.0857 90.00 90.00 90.00
Closest atoms and distances in Å follow each position.
Space group P4/mmm (No. 123)
Unique sites:
Tm: 0.0000 0.0000 0.0000 [1 per cell]  8 Sb 3.22, 4 Cd 3.52
Cd: 0.5000 0.5000 0.0000 [1 per cell]  8 Sb 3.22, 4 Tm 3.52
Sb: 0.0000 0.5000 0.5000 [2 per cell]  4 Cd 3.22, 4 Tm 3.22, 4 Sb 3.52

---

Stability ranking, top and bottom: arrangement Q is the most stable and arrangement P is the least stable.